Record 1
A plane-wave DFT calculation with PBE-GGA was carried out for ScH2CO after structural relaxation.

## Properties
E   -6.059 eV/atom
Calculated volume   8.3 A^3/atom
Size of the total moment   0.00 μB per formula unit
Symmetry   P4/mmm, No. 123

Cell lengths 2.9424, 4.8205, 2.9424 Å; angles 90.00, 90.00, 90.00 degrees
Closest atoms and distances in Å follow each position.
Element x y z (fractional)
C  0.0000  0.0000  0.0000  4 H 1.47
H  0.5000  0.0000  0.0000  2 C 1.47
H  0.0000  0.0000  0.5000  2 C 1.47
O  0.5000  0.5000  0.5000  4 Sc 2.08
Sc  0.0000  0.5000  0.0000  4 O 2.08

Record 2
A plane-wave DFT calculation with PBE-GGA was carried out for RbCa2ZnF8 after structural relaxation.

## Properties
Calculated volume   15.3 A^3/atom
Formation energy from raw total energies   -2933 meV/atom
Size of the total moment   1.16 μB per formula unit
Symmetry   P-1, No. 2

Cell lengths 4.5466, 5.2463, 7.7820 Å; angles 86.04, 84.10, 92.83 degrees
Closest atoms and distances in Å follow each position.
Element x y z (fractional)
F  0.2209  0.8594  0.8082  1 Zn 1.92
F  0.9225  0.3086  0.7939  1 Zn 2.27, 2 Ca 2.39-2.47
F  0.3248  0.2563  0.0329  1 Zn 2.00
F  0.0775  0.6914  0.2061  1 Zn 2.27, 2 Ca 2.39-2.47
F  0.5040  0.2857  0.5007  1 F 2.25, 2 Ca 2.37-2.38
F  0.4960  0.7143  0.4993  1 F 2.25, 2 Ca 2.37-2.38
F  0.7791  0.1406  0.1918  1 Zn 1.92
F  0.6752  0.7437  0.9671  1 Zn 2.00
Zn  0.0000  0.0000  0.0000  4 F 1.92-2.00
Ca  0.5547  0.5269  0.2290  7 F 2.27-2.47
Ca  0.4453  0.4731  0.7710  7 F 2.27-2.47
Rb  0.0000  0.0000  0.5000  8 F 2.68-2.89

Record 3
A plane-wave DFT calculation with PBE-GGA was carried out for LaSmYTm2 after structural relaxation.

## Properties
Calculated volume   35.0 A^3/atom
ΔH_f (0 K)   0.35 eV per atom
Size of the total moment   0.00 μB per formula unit
Symmetry   Cmcm, No. 63

Cell lengths 7.2349, 8.3900, 7.1276 Å; angles 126.05, 90.00, 90.00 degrees
Closest atoms and distances in Å follow each position.
Element x y z (fractional)
Tm  0.0000  0.3121  0.0000  1 Tm 3.15, 2 Sm 3.18, 2 Y 3.50
Tm  0.5000  0.3121  0.0000  1 Tm 3.15, 2 Sm 3.18, 2 Y 3.50
Tm  0.0000  0.6879  0.0000  1 Tm 3.15, 2 Sm 3.18, 2 Y 3.50
Tm  0.5000  0.6879  0.0000  1 Tm 3.15, 2 Sm 3.18, 2 Y 3.50
Sm  0.7500  0.9927  0.9854  1 La 3.04, 4 Tm 3.18, 1 Y 3.29
Sm  0.2500  0.0073  0.0146  1 La 3.04, 4 Tm 3.18, 1 Y 3.29
La  0.2500  0.2715  0.5429  1 Sm 3.04
La  0.7500  0.7285  0.4571  1 Sm 3.04
Y  0.7500  0.2784  0.5568  1 Sm 3.29, 4 Tm 3.50, 2 La 3.62
Y  0.2500  0.7216  0.4432  1 Sm 3.29, 4 Tm 3.50, 2 La 3.62

Which value of calculated volume does entry 2 give?
15.3 A^3/atom

Look up the size of the total moment of the first one.
0.00 μB per formula unit

Which value of calculated volume does entry 2 give?
15.3 A^3/atom

The highest calculated volume belongs to which entry?
LaSmYTm2